A plane-wave DFT calculation with PBEsol was carried out for a relaxed structure of Tl3AuI.

Unit cell a=6.221 b=6.221 c=6.221 alpha=90.00 beta=90.00 gamma=90.00
Element x y z (fractional)
I  0.000  0.000  0.000
Tl  0.000  0.500  0.000
Tl  0.000  0.000  0.500
Tl  0.500  0.000  0.000
Au  0.500  0.500  0.500

## Properties
Magnetic moment   0.0 μB/cell
DOS(E_F)   1.97 states/eV/f.u.
Uncorrected formation energy   2.909 eV per formula unit
Final energy   -10.7 eV per cell